No. 1
Compound: Ba2SrNi
Source: Alexandria
Functional: PBE
Structure: relaxed

## Properties
- total magnetic moment (μB/atom) = 0.000
- energy above the lowest structure with this stoichiometry (meV per atom) = 102.8
- DFT formation energy (meV/atom) = 90

Cell: 7.1573 7.1573 7.3235 Å, 61.10 61.10 33.42°
With the nearest neighbours (Å) after each atom.
Positions (direct):
1 Ba 0.0010 0.0010 0.9429  2 Ni 3.10
2 Ba 0.1693 0.1693 0.2954  2 Ni 3.13
3 Ni 0.5006 0.5006 0.6268  4 Ba 3.10-3.13, 2 Sr 3.10
4 Sr 0.8291 0.8291 0.6350  2 Ni 3.10



No. 2
Compound: Ba2SrNi
Source: Alexandria
Functional: PBE
Structure: relaxed

## Properties
- total magnetic moment (μB/atom) = 0.000
- energy above the lowest structure with this stoichiometry (meV per atom) = 0.0
- DFT formation energy (meV/atom) = -12

Cell: 7.7910 7.2685 13.1196 Å, 90.00 90.04 90.00°
With the nearest neighbours (Å) after each atom.
Positions (direct):
1 Sr 0.6028 0.2490 0.7502  2 Ni 3.01
2 Sr 0.3972 0.7510 0.2498  2 Ni 3.01
3 Sr 0.8972 0.7490 0.7498  2 Ni 3.01
4 Sr 0.1028 0.2510 0.2502  2 Ni 3.01
5 Ba 0.4221 0.7667 0.5797  2 Ni 3.07-3.10
6 Ba 0.4222 0.7326 0.9198  2 Ni 3.07-3.10
7 Ba 0.0779 0.2667 0.9203  2 Ni 3.07-3.10
8 Ba 0.9221 0.7333 0.0797  2 Ni 3.07-3.10
9 Ba 0.5778 0.2674 0.0802  2 Ni 3.07-3.10
10 Ba 0.9222 0.7674 0.4198  2 Ni 3.07-3.10
11 Ba 0.0778 0.2326 0.5802  2 Ni 3.07-3.10
12 Ba 0.5779 0.2333 0.4203  2 Ni 3.07-3.10
13 Ni 0.2500 0.5006 0.0892  2 Sr 3.01, 4 Ba 3.07-3.10
14 Ni 0.7500 0.9994 0.5892  2 Sr 3.01, 4 Ba 3.07-3.10
15 Ni 0.7500 0.4994 0.9108  2 Sr 3.01, 4 Ba 3.07-3.10
16 Ni 0.2500 0.0006 0.4108  2 Sr 3.01, 4 Ba 3.07-3.10



No. 3
Compound: BaSr2Ni2
Source: Alexandria
Functional: PBE
Structure: relaxed

## Properties
- total magnetic moment (μB/atom) = 0.000
- energy above the lowest structure with this stoichiometry (meV per atom) = 93.3
- DFT formation energy (meV/atom) = 167

Cell: 4.9360 4.9360 7.2651 Å, 70.14 70.14 90.00°
With the nearest neighbours (Å) after each atom.
Positions (direct):
1 Ni 0.5918 0.5918 0.8164  1 Ni 2.34
2 Ni 0.4082 0.4082 0.1836  1 Ni 2.34
3 Ba 0.0000 0.0000 0.0000  8 Ni 3.68, 8 Sr 4.03
4 Sr 0.2500 0.7500 0.5000  4 Ni 3.19, 4 Sr 3.49
5 Sr 0.7500 0.2500 0.5000  4 Ni 3.19, 4 Sr 3.49



No. 4
Compound: BaSr2Ni
Source: Alexandria
Functional: PBE
Structure: relaxed

## Properties
- total magnetic moment (μB/atom) = 0.000
- energy above the lowest structure with this stoichiometry (meV per atom) = 121.5
- DFT formation energy (meV/atom) = 116

Cell: 7.4104 7.4104 7.4104 Å, 148.97 129.06 60.86°
With the nearest neighbours (Å) after each atom.
Positions (direct):
1 Sr 0.4241 0.4241 0.0000  2 Ni 2.98
2 Sr 0.0759 0.0759 0.0000  2 Ni 2.98
3 Ni 0.2500 0.7500 0.5000  4 Sr 2.98
4 Ba 0.7500 0.2500 0.5000  4 Ni 3.75, 4 Sr 3.89, 2 Ba 3.96



No. 5
Compound: BaSrNi
Source: Alexandria
Functional: PBE
Structure: relaxed

## Properties
- total magnetic moment (μB/atom) = 0.000
- energy above the lowest structure with this stoichiometry (meV per atom) = 78.3
- DFT formation energy (meV/atom) = 52

Cell: 4.4001 4.4001 7.2089 Å, 90.00 90.00 120.00°
With the nearest neighbours (Å) after each atom.
Positions (direct):
1 Ba 0.0000 0.0000 0.1016  3 Ni 3.06
2 Sr 0.3333 0.6667 0.5609  3 Ni 3.01
3 Ni 0.6667 0.3333 0.3374  3 Sr 3.01, 3 Ba 3.06



No. 6
Compound: BaSrNi2
Source: Alexandria
Functional: PBE
Structure: relaxed

## Properties
- total magnetic moment (μB/atom) = 0.000
- energy above the lowest structure with this stoichiometry (meV per atom) = 271.2
- DFT formation energy (meV/atom) = 284

Cell: 3.5106 3.5106 8.7673 Å, 90.00 90.00 89.98°
With the nearest neighbours (Å) after each atom.
Positions (direct):
1 Ni 0.5000 0.5000 0.1620  4 Ni 2.55, 1 Ba 2.82
2 Ni 0.0000 0.0000 0.0943  4 Ni 2.55, 1 Sr 2.71
3 Ba 0.5000 0.5000 0.8402  1 Ni 2.82
4 Sr 0.0000 0.0000 0.4036  1 Ni 2.71



What is the energy above the lowest structure with this stoichiometry in the fourth record? 121.5 meV per atom